Density functional theory data (GGA-PBE) for crystalline ZrMnZn2 at its relaxed geometry.

Cell lengths 2.968, 2.968, 27.076 Å; angles 90.00, 90.00, 120.00 degrees
Sites, in units of the cell vectors:
Zr: 0.000 0.000 0.000
Zr: 0.333 0.667 0.667
Zr: 0.667 0.333 0.333
Mn: 0.000 0.000 0.247
Mn: 0.333 0.667 0.914
Mn: 0.667 0.333 0.580
Zn: 0.000 0.000 0.504
Zn: 0.000 0.000 0.758
Zn: 0.333 0.667 0.171
Zn: 0.333 0.667 0.424
Zn: 0.667 0.333 0.091
Zn: 0.667 0.333 0.837

Total DFT energy (no corrections): -4.921 eV per atom
Formation energy from the elements: 0.1452 eV per atom
D(E_F): 8.50 states/eV/cell

Density functional theory data (GGA-PBE) for crystalline Zr2MnZn at its relaxed geometry.

Cell lengths 3.123, 4.778, 9.903 Å; angles 90.00, 90.00, 90.00 degrees
Sites, in units of the cell vectors:
Zr: 0.000 0.000 0.000
Zr: 0.000 0.500 0.219
Zr: 0.500 0.000 0.719
Zr: 0.500 0.500 0.500
Mn: 0.000 0.500 0.748
Mn: 0.500 0.000 0.248
Zn: 0.000 0.000 0.455
Zn: 0.500 0.500 0.955

Total DFT energy (no corrections): -6.895 eV per atom
Formation energy from the elements: -0.0096 eV per atom
D(E_F): 9.88 states/eV/cell

Density functional theory data (GGA-PBE) for crystalline Zr2MnZn at its relaxed geometry.

Cell lengths 3.201, 3.201, 7.250 Å; angles 90.00, 90.00, 90.00 degrees
Sites, in units of the cell vectors:
Zr: 0.000 0.000 0.000
Zr: 0.500 0.500 0.306
Mn: 0.000 0.000 0.550
Zn: 0.500 0.500 0.737

Total DFT energy (no corrections): -6.918 eV per atom
Formation energy from the elements: -0.0330 eV per atom
D(E_F): 3.22 states/eV/cell

Q: Which of these has the lowest D(E_F)?
A: number 3